1.
A relaxed structure of Ca2DyAl3Ga12, computed with PBE.

```
data_Ca2DyAl3Ga12
_chemical_formula_sum 'Ca2 Dy1 Al3 Ga12'
_cell_length_a 10.698
_cell_length_b 10.698
_cell_length_c 10.698
_cell_angle_alpha 37.03
_cell_angle_beta 37.03
_cell_angle_gamma 37.03
_space_group_name_H-M_alt 'P 1'
_space_group_IT_number 1
_space_group_name_Hall 'P 1'
loop_
_atom_site_label
_atom_site_type_symbol
_atom_site_fract_x
_atom_site_fract_y
_atom_site_fract_z
Ga1 Ga 0.588 0.187 0.588
Ga2 Ga 0.130 0.130 0.548
Ga3 Ga 0.870 0.452 0.870
Ga4 Ga 0.412 0.412 0.813
Ga5 Ga 0.548 0.130 0.130
Ga6 Ga 0.588 0.588 0.187
Ga7 Ga 0.452 0.870 0.870
Ga8 Ga 0.813 0.412 0.412
Ga9 Ga 0.187 0.588 0.588
Ga10 Ga 0.870 0.870 0.452
Ga11 Ga 0.412 0.813 0.412
Ga12 Ga 0.130 0.548 0.130
Al1 Al 0.000 0.500 0.000
Al2 Al 0.500 0.000 0.000
Al3 Al 0.000 0.000 0.500
Ca1 Ca 0.639 0.639 0.639
Ca2 Ca 0.361 0.361 0.361
Dy1 Dy 0.000 0.000 0.000
```

Output
total magnetization = 0.0 μB per cell
V = 397.9 Å³/cell
total DFT energy (no corrections) = -57.7 eV per cell
Fermi-level density of states = 6.52 states/eV/f.u.

2.
A relaxed structure of CaDyHoAl, computed with PBE.

```
data_CaDyHoAl
_chemical_formula_sum 'Ca1 Dy1 Ho1 Al1'
_cell_length_a 5.374
_cell_length_b 5.374
_cell_length_c 5.374
_cell_angle_alpha 60.00
_cell_angle_beta 60.00
_cell_angle_gamma 60.00
_space_group_name_H-M_alt 'P 1'
_space_group_IT_number 1
_space_group_name_Hall 'P 1'
loop_
_atom_site_label
_atom_site_type_symbol
_atom_site_fract_x
_atom_site_fract_y
_atom_site_fract_z
Ho1 Ho 0.500 0.500 0.500
Al1 Al 0.750 0.750 0.750
Dy1 Dy 0.000 0.000 0.000
Ca1 Ca 0.250 0.250 0.250
```

Output
total magnetization = 0.0 μB per cell
V = 109.8 Å³/cell
total DFT energy (no corrections) = -15.1 eV per cell
Fermi-level density of states = 2.78 states/eV/f.u.

3.
A relaxed structure of CaLaDyAl, computed with PBE.

```
data_CaLaDyAl
_chemical_formula_sum 'Ca1 La1 Dy1 Al1'
_cell_length_a 5.500
_cell_length_b 5.500
_cell_length_c 5.500
_cell_angle_alpha 60.00
_cell_angle_beta 60.00
_cell_angle_gamma 60.00
_space_group_name_H-M_alt 'P 1'
_space_group_IT_number 1
_space_group_name_Hall 'P 1'
loop_
_atom_site_label
_atom_site_type_symbol
_atom_site_fract_x
_atom_site_fract_y
_atom_site_fract_z
Dy1 Dy 0.000 0.000 0.000
La1 La 0.500 0.500 0.500
Al1 Al 0.750 0.750 0.750
Ca1 Ca 0.250 0.250 0.250
```

Output
total magnetization = 0.0 μB per cell
V = 117.6 Å³/cell
total DFT energy (no corrections) = -15.6 eV per cell
Fermi-level density of states = 2.88 states/eV/f.u.

4.
A relaxed structure of CaDyLuAl, computed with PBE.

```
data_CaDyLuAl
_chemical_formula_sum 'Ca1 Dy1 Lu1 Al1'
_cell_length_a 5.342
_cell_length_b 5.342
_cell_length_c 5.342
_cell_angle_alpha 60.00
_cell_angle_beta 60.00
_cell_angle_gamma 60.00
_space_group_name_H-M_alt 'P 1'
_space_group_IT_number 1
_space_group_name_Hall 'P 1'
loop_
_atom_site_label
_atom_site_type_symbol
_atom_site_fract_x
_atom_site_fract_y
_atom_site_fract_z
Dy1 Dy 0.000 0.000 0.000
Lu1 Lu 0.500 0.500 0.500
Al1 Al 0.750 0.750 0.750
Ca1 Ca 0.250 0.250 0.250
```

Output
total magnetization = 0.0 μB per cell
V = 107.8 Å³/cell
total DFT energy (no corrections) = -15.0 eV per cell
Fermi-level density of states = 3.24 states/eV/f.u.

5.
A relaxed structure of NaCaDyAl, computed with PBE.

```
data_NaCaDyAl
_chemical_formula_sum 'Na1 Ca1 Dy1 Al1'
_cell_length_a 5.390
_cell_length_b 5.390
_cell_length_c 5.390
_cell_angle_alpha 60.00
_cell_angle_beta 60.00
_cell_angle_gamma 60.00
_space_group_name_H-M_alt 'P 1'
_space_group_IT_number 1
_space_group_name_Hall 'P 1'
loop_
_atom_site_label
_atom_site_type_symbol
_atom_site_fract_x
_atom_site_fract_y
_atom_site_fract_z
Ca1 Ca 0.250 0.250 0.250
Na1 Na 0.000 0.000 0.000
Dy1 Dy 0.750 0.750 0.750
Al1 Al 0.500 0.500 0.500
```

Output
total magnetization = 0.0 μB per cell
V = 110.7 Å³/cell
total DFT energy (no corrections) = -11.7 eV per cell
Fermi-level density of states = 3.55 states/eV/f.u.

6.
A relaxed structure of CaDy2AlO, computed with PBE.

```
data_CaDy2AlO
_chemical_formula_sum 'Ca1 Dy2 Al1 O1'
_cell_length_a 4.749
_cell_length_b 4.752
_cell_length_c 4.752
_cell_angle_alpha 90.00
_cell_angle_beta 90.00
_cell_angle_gamma 90.00
_space_group_name_H-M_alt 'P 1'
_space_group_IT_number 1
_space_group_name_Hall 'P 1'
loop_
_atom_site_label
_atom_site_type_symbol
_atom_site_fract_x
_atom_site_fract_y
_atom_site_fract_z
O1 O 0.000 0.000 0.000
Al1 Al 0.500 0.500 0.500
Dy1 Dy 0.000 0.000 0.500
Dy2 Dy 0.000 0.500 0.000
Ca1 Ca 0.500 0.000 0.000
```

Output
total magnetization = 0.0 μB per cell
formation energy from raw total energies = -1.3310 eV/atom
V = 107.3 Å³/cell
total DFT energy (no corrections) = -26.6 eV per cell
Fermi-level density of states = 1.84 states/eV/f.u.